(1)
Here is YScU2S4 after structural relaxation from Alexandria via LeMat-Bulk. Energies are from PBE.

Formation energy from raw total energies ... -1.604 eV/atom
E_tot ... -0.595 Ry per atom
Magnetization ... 0.32 μB per cell
Symmetry ... P2/m, No. 10

Geometry as extended XYZ:
```
8
Lattice="-0.191 3.278 1.875 -5.691 -1.951 2.832 5.128 -1.939 3.912" Properties=species:S:1:pos:R:3 pbc="T T T"
Y -2.941 0.663 2.353
Sc 0.000 0.000 0.000
U 2.468 0.670 2.894
U -0.281 -1.945 3.372
S -0.227 0.713 2.543
S -0.527 -1.325 6.076
S 2.490 -1.942 3.649
S -3.053 -1.948 3.095
```



(2)
Here is ScV3S after structural relaxation from Alexandria via LeMat-Bulk. Energies are from PBE.

Formation energy from raw total energies ... 1.798 eV/atom
E_tot ... -0.424 Ry per atom
Magnetization ... 1.91 μB per cell
Symmetry ... Pm-3m, No. 221

Geometry as extended XYZ:
```
5
Lattice="-3.269 2.488 1.843 0.996 -1.694 4.052 2.932 3.349 0.680" Properties=species:S:1:pos:R:3 pbc="T T T"
Sc 0.000 0.000 0.000
S 0.329 2.072 3.287
V 0.498 -0.847 2.026
V 1.466 1.675 0.340
V -1.635 1.244 0.922
```



(3)
Here is Sc2VS after structural relaxation from Alexandria via LeMat-Bulk. Energies are from PBE.

Formation energy from raw total energies ... -0.306 eV/atom
E_tot ... -0.499 Ry per atom
Magnetization ... 2.62 μB per cell
Symmetry ... R-3m, No. 166

Geometry as extended XYZ:
```
4
Lattice="3.338 0.000 0.000 1.669 2.890 0.000 1.669 0.963 8.472" Properties=species:S:1:pos:R:3 pbc="T T T"
Sc 1.669 0.963 5.839
Sc 5.006 2.890 2.633
S 3.338 1.927 4.236
V 0.000 0.000 0.000
```



(4)
Here is ScV3S after structural relaxation from Alexandria via LeMat-Bulk. Energies are from PBE.

Formation energy from raw total energies ... -0.092 eV/atom
E_tot ... -0.563 Ry per atom
Magnetization ... 1.87 μB per cell
Symmetry ... Pm-3m, No. 221

Geometry as extended XYZ:
```
5
Lattice="-3.976 0.099 1.782 -0.322 -4.320 -0.479 1.756 -0.568 3.948" Properties=species:S:1:pos:R:3 pbc="T T T"
Sc -1.271 -2.395 2.626
S 0.000 0.000 0.000
V -0.161 -2.160 -0.239
V 0.878 -0.284 1.974
V -1.988 0.049 0.891
```



(5)
Here is Sc2VS after structural relaxation from Alexandria via LeMat-Bulk. Energies are from PBE.

Formation energy from raw total energies ... -0.293 eV/atom
E_tot ... -0.498 Ry per atom
Magnetization ... 2.34 μB per cell
Symmetry ... I-42d, No. 122

Geometry as extended XYZ:
```
8
Lattice="-4.033 -5.903 -5.029 6.200 0.950 -6.088 2.272 -4.103 -4.602" Properties=species:S:1:pos:R:3 pbc="T T T"
Sc -0.659 -3.836 -4.407
Sc 3.419 -1.930 -6.231
Sc 3.314 -4.812 -8.404
Sc 2.801 -7.534 -12.394
S 1.083 -2.476 -5.558
S 4.777 -2.815 -8.124
V 0.000 0.000 0.000
V -0.339 -6.241 -7.594
```



(6)
Here is ScV2S after structural relaxation from Alexandria via LeMat-Bulk. Energies are from PBE.

Formation energy from raw total energies ... -0.158 eV/atom
E_tot ... -0.539 Ry per atom
Magnetization ... 0.00 μB per cell
Symmetry ... I-42d, No. 122

Geometry as extended XYZ:
```
8
Lattice="3.620 0.000 0.000 0.000 3.620 0.000 1.810 1.810 9.541" Properties=species:S:1:pos:R:3 pbc="T T T"
Sc 0.000 0.000 0.000
Sc 3.620 1.810 4.771
S 1.810 1.810 0.000
S 1.810 3.620 4.771
V 2.638 0.905 2.385
V 0.982 2.715 2.385
V 2.715 2.792 7.156
V 4.525 4.448 7.156
```



(7)
Here is Sc3WS after structural relaxation from Alexandria via LeMat-Bulk. Energies are from PBE.

Formation energy from raw total energies ... 0.566 eV/atom
E_tot ... -0.489 Ry per atom
Magnetization ... 0.00 μB per cell
Symmetry ... Pm-3m, No. 221

Geometry as extended XYZ:
```
5
Lattice="-4.091 -0.476 2.939 -1.445 -4.049 -2.667 2.603 -2.996 3.138" Properties=species:S:1:pos:R:3 pbc="T T T"
Sc -0.723 -2.024 -1.334
Sc 1.301 -1.498 1.569
Sc -2.045 -0.238 1.469
S -1.467 -3.760 1.704
W 0.000 0.000 0.000
```



(8)
Here is ScWS3 after structural relaxation from Alexandria via LeMat-Bulk. Energies are from PBE.

Formation energy from raw total energies ... -0.260 eV/atom
E_tot ... -0.485 Ry per atom
Magnetization ... 0.88 μB per cell
Symmetry ... Pm-3m, No. 221

Geometry as extended XYZ:
```
5
Lattice="4.675 0.000 0.000 0.000 4.675 0.000 0.000 0.000 4.675" Properties=species:S:1:pos:R:3 pbc="T T T"
Sc 2.337 2.337 2.337
S 0.000 2.337 0.000
S 0.000 0.000 2.337
S 2.337 0.000 0.000
W 0.000 0.000 0.000
```